Computed, not measured: a relaxed CoP2H10N2O8 crystal at the GGA+U level of DFT.

## Properties
E   -5.7556 eV per atom

a = 10.426 Å, b = 6.412 Å, c = 12.962 Å
α = 76.31°, β = 90.00°, γ = 90.00°
Last column: magnetic moment on the atom in μB.
Fractional coordinates of all 92 atoms:
H (0.325, 0.353, 0.129)  0.00
H (0.039, 0.691, 0.432)  0.00
O (0.219, 0.885, 0.316)  0.03
O (0.405, 0.638, 0.667)  0.03
H (0.192, 0.320, 0.386)  0.00
O (0.507, 0.934, 0.349)  0.03
H (0.080, 0.435, 0.889)  0.00
N (0.079, 0.783, 0.479)  0.00
H (0.559, 0.044, 0.600)  0.00
O (0.031, 0.485, 0.646)  0.00
P (0.689, 0.044, 0.083)  0.01
O (0.469, 0.485, 0.146)  0.00
O (0.306, 0.965, 0.486)  0.03
O (0.281, 0.885, 0.816)  0.03
H (0.059, 0.956, 0.900)  0.00
N (0.123, 0.201, 0.390)  0.01
O (0.905, 0.362, 0.833)  0.03
O (0.667, 0.528, 0.592)  0.00
N (0.623, 0.799, 0.110)  0.01
H (0.441, 0.956, 0.400)  0.00
H (0.554, 0.404, 0.261)  0.00
P (0.530, 0.271, 0.895)  0.00
P (0.030, 0.729, 0.605)  0.00
O (0.333, 0.472, 0.408)  0.00
N (0.921, 0.217, 0.521)  0.00
H (0.685, 0.378, 0.630)  0.00
H (0.714, 0.638, 0.458)  0.00
O (0.194, 0.965, 0.986)  0.03
H (0.946, 0.404, 0.761)  0.00
O (0.719, 0.115, 0.184)  0.03
O (0.263, 0.302, 0.618)  0.02
P (0.970, 0.271, 0.395)  0.00
N (0.421, 0.783, 0.979)  0.00
O (0.763, 0.698, 0.882)  0.02
H (0.354, 0.512, 0.658)  0.00
P (0.189, 0.956, 0.417)  0.01
O (0.595, 0.362, 0.333)  0.03
H (0.038, 0.919, 0.784)  0.00
O (0.493, 0.066, 0.651)  0.03
O (0.993, 0.934, 0.849)  0.03
H (0.646, 0.488, 0.342)  0.00
H (0.854, 0.488, 0.842)  0.00
H (0.146, 0.512, 0.158)  0.00
H (0.808, 0.680, 0.614)  0.00
H (0.675, 0.647, 0.871)  0.00
O (0.237, 0.302, 0.118)  0.02
H (0.941, 0.044, 0.100)  0.00
H (0.462, 0.919, 0.284)  0.00
O (0.806, 0.035, 0.014)  0.03
H (0.420, 0.435, 0.389)  0.00
N (0.579, 0.217, 0.021)  0.00
P (0.311, 0.956, 0.917)  0.01
P (0.470, 0.729, 0.105)  0.00
H (0.786, 0.638, 0.958)  0.00
H (0.580, 0.565, 0.611)  0.00
O (0.612, 0.136, 0.838)  0.03
H (0.214, 0.362, 0.042)  0.00
O (0.167, 0.472, 0.908)  0.00
O (0.781, 0.115, 0.684)  0.03
Co (0.308, 0.947, 0.652)  2.79
H (0.920, 0.565, 0.111)  0.00
Co (0.692, 0.053, 0.348)  2.79
O (0.531, 0.515, 0.854)  0.00
H (0.815, 0.378, 0.130)  0.00
O (0.888, 0.136, 0.338)  0.03
O (0.007, 0.066, 0.151)  0.03
N (0.877, 0.799, 0.610)  0.01
H (0.308, 0.320, 0.886)  0.00
H (0.185, 0.622, 0.870)  0.00
H (0.539, 0.309, 0.068)  0.00
O (0.095, 0.638, 0.167)  0.03
H (0.054, 0.596, 0.239)  0.00
N (0.377, 0.201, 0.890)  0.01
P (0.811, 0.044, 0.583)  0.01
H (0.538, 0.081, 0.716)  0.00
O (0.969, 0.515, 0.354)  0.00
Co (0.808, 0.053, 0.848)  2.79
O (0.737, 0.698, 0.382)  0.02
H (0.175, 0.353, 0.629)  0.00
H (0.315, 0.622, 0.370)  0.00
H (0.461, 0.691, 0.932)  0.00
O (0.112, 0.864, 0.662)  0.03
H (0.961, 0.309, 0.568)  0.00
H (0.962, 0.081, 0.216)  0.00
H (0.825, 0.647, 0.371)  0.00
O (0.833, 0.528, 0.092)  0.00
H (0.692, 0.680, 0.114)  0.00
Co (0.192, 0.947, 0.152)  2.79
H (0.446, 0.596, 0.739)  0.00
O (0.694, 0.035, 0.514)  0.03
O (0.388, 0.864, 0.162)  0.03
H (0.286, 0.362, 0.542)  0.00

***

Computed, not measured: a relaxed CoPH16NO10 crystal at the GGA+U level of DFT.

## Properties
E   -5.3537 eV per atom

a = 6.099 Å, b = 7.010 Å, c = 11.324 Å
α = 90.00°, β = 90.00°, γ = 90.00°
Last column: magnetic moment on the atom in μB.
Fractional coordinates of all 58 atoms:
H (0.151, 0.822, 0.185)  0.00
O (0.747, 0.227, 0.723)  0.03
H (0.803, 0.204, 0.806)  0.00
O (0.024, 0.500, 0.041)  0.02
H (0.197, 0.704, 0.306)  0.00
H (0.509, 0.119, 0.232)  0.00
O (0.004, 0.000, 0.123)  0.00
H (0.247, 0.500, 0.704)  0.00
H (0.197, 0.296, 0.306)  0.00
H (0.026, 0.883, 0.497)  0.00
H (0.365, 0.818, 0.969)  0.00
H (0.849, 0.322, 0.685)  0.00
H (0.387, 0.245, 0.480)  0.00
O (0.867, 0.817, 0.944)  0.00
H (0.635, 0.682, 0.469)  0.00
H (0.753, 0.000, 0.204)  0.00
H (0.151, 0.178, 0.185)  0.00
O (0.976, 0.000, 0.541)  0.02
O (0.253, 0.727, 0.223)  0.03
O (0.776, 0.500, 0.431)  0.00
H (0.387, 0.755, 0.480)  0.00
H (0.509, 0.881, 0.232)  0.00
H (0.807, 0.500, 0.149)  0.00
H (0.635, 0.318, 0.469)  0.00
O (0.542, 0.798, 0.487)  0.03
H (0.491, 0.381, 0.732)  0.00
H (0.803, 0.796, 0.806)  0.00
H (0.628, 0.000, 0.341)  0.00
Co (0.641, 0.000, 0.615)  2.77
H (0.712, 0.500, 0.282)  0.00
N (0.396, 0.500, 0.751)  0.00
H (0.365, 0.182, 0.969)  0.00
O (0.867, 0.183, 0.944)  0.00
O (0.996, 0.500, 0.623)  0.00
H (0.491, 0.619, 0.732)  0.00
H (0.026, 0.117, 0.497)  0.00
P (0.011, 0.500, 0.486)  0.00
H (0.193, 0.000, 0.649)  0.00
H (0.974, 0.617, 0.997)  0.00
O (0.330, 0.000, 0.697)  0.03
H (0.372, 0.500, 0.841)  0.00
O (0.747, 0.773, 0.723)  0.03
P (0.989, 0.000, 0.986)  0.00
O (0.670, 0.500, 0.197)  0.03
O (0.133, 0.317, 0.444)  0.00
Co (0.359, 0.500, 0.115)  2.77
N (0.604, 0.000, 0.251)  0.00
O (0.458, 0.298, 0.987)  0.03
H (0.613, 0.745, 0.980)  0.00
O (0.458, 0.702, 0.987)  0.03
O (0.542, 0.202, 0.487)  0.03
O (0.253, 0.273, 0.223)  0.03
H (0.613, 0.255, 0.980)  0.00
H (0.288, 0.000, 0.782)  0.00
O (0.133, 0.683, 0.444)  0.00
H (0.849, 0.678, 0.685)  0.00
O (0.224, 0.000, 0.931)  0.00
H (0.974, 0.383, 0.997)  0.00